<P>
The following is a PBE-GGA calculation of a relaxed structure of Ta3OsC, from the Alexandria database.

abc: 4.821 4.821 4.821
angles: 90.00 90.00 90.00
Sites, in units of the cell vectors:
Ta  0.000  0.000  0.500
Ta  0.000  0.500  0.000
Ta  0.500  0.000  0.000
Os  0.000  0.000  0.000
C  0.500  0.500  0.500

Results
As for the symmetry: Pm-3m (221). The volume comes out at 22.4 A^3/atom.

---

<Q>
The following is a PBE-GGA calculation of a relaxed structure of Ta3OsC, from the Alexandria database.

abc: 4.252 4.252 4.252
angles: 90.00 90.00 90.00
Sites, in units of the cell vectors:
Ta  0.000  0.000  0.500
Ta  0.000  0.500  0.000
Ta  0.500  0.000  0.000
Os  0.500  0.500  0.500
C  0.000  0.000  0.000

Results
As for the symmetry: Pm-3m (221). The volume comes out at 15.4 A^3/atom.

---

From most stable to least stable, the computed energies give <Q>, <P>.

---

<P>
The following is a PBE-GGA calculation of a relaxed structure of Tb2OsC2, from the Alexandria database.

abc: 8.068 6.286 6.508
angles: 90.00 98.88 90.00
Sites, in units of the cell vectors:
Tb  0.045  0.248  0.048
Tb  0.045  0.252  0.548
Tb  0.334  0.604  0.866
Tb  0.334  0.896  0.366
Tb  0.666  0.104  0.634
Tb  0.666  0.396  0.134
Tb  0.955  0.748  0.452
Tb  0.955  0.752  0.952
Os  0.354  0.092  0.869
Os  0.354  0.408  0.369
Os  0.646  0.592  0.631
Os  0.646  0.908  0.131
C  0.151  0.584  0.219
C  0.151  0.916  0.719
C  0.375  0.235  0.132
C  0.375  0.265  0.632
C  0.625  0.735  0.368
C  0.625  0.765  0.868
C  0.849  0.084  0.281
C  0.849  0.416  0.781

Results
As for the symmetry: P2_1/c (14). The volume comes out at 16.3 A^3/atom.

---

<Q>
The following is a PBE-GGA calculation of a relaxed structure of Tb2OsC2, from the Alexandria database.

abc: 6.468 5.170 9.849
angles: 90.00 90.00 90.00
Sites, in units of the cell vectors:
Tb  0.025  0.250  0.219
Tb  0.186  0.250  0.551
Tb  0.314  0.750  0.051
Tb  0.475  0.750  0.719
Tb  0.525  0.250  0.281
Tb  0.686  0.250  0.949
Tb  0.814  0.750  0.449
Tb  0.975  0.750  0.781
Os  0.228  0.250  0.864
Os  0.272  0.750  0.364
Os  0.728  0.250  0.636
Os  0.772  0.750  0.136
C  0.036  0.750  0.242
C  0.177  0.750  0.551
C  0.323  0.250  0.051
C  0.464  0.250  0.742
C  0.536  0.750  0.258
C  0.677  0.750  0.949
C  0.823  0.250  0.449
C  0.964  0.250  0.758

Results
As for the symmetry: Pnma (62). The volume comes out at 16.5 A^3/atom.

---

From most stable to least stable, the computed energies give <Q>, <P>.

---

<P>
The following is a PBE-GGA calculation of a relaxed structure of Tc3OsC, from the Alexandria database.

abc: 4.696 4.696 4.696
angles: 90.00 90.00 90.00
Sites, in units of the cell vectors:
Tc  0.000  0.000  0.500
Tc  0.000  0.500  0.000
Tc  0.500  0.000  0.000
Os  0.000  0.000  0.000
C  0.500  0.500  0.500

Results
As for the symmetry: Pm-3m (221). The volume comes out at 20.7 A^3/atom.

---

<Q>
The following is a PBE-GGA calculation of a relaxed structure of Tc3OsC, from the Alexandria database.

abc: 4.037 4.037 4.037
angles: 90.00 90.00 90.00
Sites, in units of the cell vectors:
Tc  0.000  0.000  0.500
Tc  0.000  0.500  0.000
Tc  0.500  0.000  0.000
Os  0.500  0.500  0.500
C  0.000  0.000  0.000

Results
As for the symmetry: Pm-3m (221). The volume comes out at 13.2 A^3/atom.

---

From most stable to least stable, the computed energies give <Q>, <P>.

---

<P>
The following is a PBE-GGA calculation of a relaxed structure of TeOsC3, from the Alexandria database.

abc: 4.088 4.088 4.088
angles: 90.00 90.00 90.00
Sites, in units of the cell vectors:
Te  0.000  0.000  0.000
Os  0.500  0.500  0.500
C  0.000  0.500  0.500
C  0.500  0.000  0.500
C  0.500  0.500  0.000

Results
As for the symmetry: Pm-3m (221). The volume comes out at 13.7 A^3/atom.

---

<Q>
The following is a PBE-GGA calculation of a relaxed structure of TeOsC3, from the Alexandria database.

abc: 4.073 4.073 4.073
angles: 90.00 90.00 90.00
Sites, in units of the cell vectors:
Te  0.000  0.000  0.000
Os  0.500  0.500  0.500
C  0.000  0.000  0.500
C  0.000  0.500  0.000
C  0.500  0.000  0.000

Results
As for the symmetry: Pm-3m (221). The volume comes out at 13.5 A^3/atom.

---

From most stable to least stable, the computed energies give <P>, <Q>.

---

<P>
The following is a PBE-GGA calculation of a relaxed structure of TeOs3C, from the Alexandria database.

abc: 4.827 4.827 4.827
angles: 90.00 90.00 90.00
Sites, in units of the cell vectors:
Te  0.000  0.000  0.000
Os  0.000  0.000  0.500
Os  0.000  0.500  0.000
Os  0.500  0.000  0.000
C  0.500  0.500  0.500

Results
As for the symmetry: Pm-3m (221). The volume comes out at 22.5 A^3/atom.

---

<Q>
The following is a PBE-GGA calculation of a relaxed structure of TeOs3C, from the Alexandria database.

abc: 4.177 4.177 4.177
angles: 90.00 90.00 90.00
Sites, in units of the cell vectors:
Te  0.000  0.000  0.000
Os  0.000  0.500  0.500
Os  0.500  0.000  0.500
Os  0.500  0.500  0.000
C  0.500  0.500  0.500

Results
As for the symmetry: Pm-3m (221). The volume comes out at 14.6 A^3/atom.

---

From most stable to least stable, the computed energies give <Q>, <P>.

---

<P>
The following is a PBE-GGA calculation of a relaxed structure of TeOs2C, from the Alexandria database.

abc: 5.119 5.119 10.674
angles: 90.00 90.00 90.00
Sites, in units of the cell vectors:
Te  0.000  0.000  0.000
Te  0.000  0.500  0.250
Te  0.500  0.000  0.750
Te  0.500  0.500  0.500
Os  0.145  0.250  0.625
Os  0.250  0.645  0.875
Os  0.250  0.855  0.375
Os  0.355  0.250  0.125
Os  0.645  0.750  0.125
Os  0.750  0.145  0.375
Os  0.750  0.355  0.875
Os  0.855  0.750  0.625
C  0.000  0.000  0.500
C  0.000  0.500  0.750
C  0.500  0.000  0.250
C  0.500  0.500  0.000

Results
As for the symmetry: I-42d (122). The volume comes out at 17.5 A^3/atom.

---

<Q>
The following is a PBE-GGA calculation of a relaxed structure of TeOs2C, from the Alexandria database.

abc: 6.121 6.121 6.121
angles: 90.00 90.00 90.00
Sites, in units of the cell vectors:
Te  0.000  0.000  0.000
Te  0.000  0.500  0.500
Te  0.500  0.000  0.500
Te  0.500  0.500  0.000
Os  0.250  0.250  0.250
Os  0.250  0.250  0.750
Os  0.250  0.750  0.250
Os  0.250  0.750  0.750
Os  0.750  0.250  0.250
Os  0.750  0.250  0.750
Os  0.750  0.750  0.250
Os  0.750  0.750  0.750
C  0.000  0.000  0.500
C  0.000  0.500  0.000
C  0.500  0.000  0.000
C  0.500  0.500  0.500

Results
As for the symmetry: Fm-3m (225). The volume comes out at 14.3 A^3/atom.

---

From most stable to least stable, the computed energies give <P>, <Q>.

---

<P>
The following is a PBE-GGA calculation of a relaxed structure of ThOsC2, from the Alexandria database.

abc: 3.794 4.667 6.670
angles: 90.00 90.00 90.00
Sites, in units of the cell vectors:
Th  0.000  0.000  0.000
Th  0.000  0.500  0.500
Os  0.500  0.000  0.390
Os  0.500  0.500  0.890
C  0.500  0.152  0.692
C  0.500  0.348  0.192
C  0.500  0.652  0.192
C  0.500  0.848  0.692

Results
As for the symmetry: Amm2 (38). The volume comes out at 14.8 A^3/atom.

---

<Q>
The following is a PBE-GGA calculation of a relaxed structure of ThOsC2, from the Alexandria database.

abc: 3.461 3.461 15.671
angles: 90.00 90.00 120.00
Sites, in units of the cell vectors:
Th  0.000  0.000  0.000
Th  0.333  0.667  0.667
Th  0.667  0.333  0.333
Os  0.000  0.000  0.500
Os  0.333  0.667  0.167
Os  0.667  0.333  0.833
C  0.000  0.000  0.229
C  0.000  0.000  0.771
C  0.333  0.667  0.438
C  0.333  0.667  0.895
C  0.667  0.333  0.105
C  0.667  0.333  0.562

Results
As for the symmetry: R-3m (166). The volume comes out at 13.5 A^3/atom.

---

From most stable to least stable, the computed energies give <P>, <Q>.

---

<P>
The following is a PBE-GGA calculation of a relaxed structure of Ti3OsC, from the Alexandria database.

abc: 4.694 4.694 4.694
angles: 90.00 90.00 90.00
Sites, in units of the cell vectors:
Ti  0.000  0.000  0.500
Ti  0.000  0.500  0.000
Ti  0.500  0.000  0.000
Os  0.000  0.000  0.000
C  0.500  0.500  0.500

Results
As for the symmetry: Pm-3m (221). The volume comes out at 20.7 A^3/atom.

---

<Q>
The following is a PBE-GGA calculation of a relaxed structure of Ti3OsC, from the Alexandria database.

abc: 4.132 4.132 4.132
angles: 90.00 90.00 90.00
Sites, in units of the cell vectors:
Ti  0.000  0.000  0.500
Ti  0.000  0.500  0.000
Ti  0.500  0.000  0.000
Os  0.500  0.500  0.500
C  0.000  0.000  0.000

Results
As for the symmetry: Pm-3m (221). The volume comes out at 14.1 A^3/atom.

---

From most stable to least stable, the computed energies give <Q>, <P>.